(1)
Here is a relaxed structure of Ac2Ge5Pt4 from Alexandria. Energies are from PBE.

extended XYZ file:
```
11
Lattice="0.0000 5.1506 7.5195 3.0201 0.0000 7.5195 3.0201 5.1506 0.0000" Properties=species:S:1:pos:R:3 pbc="T T T"
Ac 3.0201 5.1506 2.1660
Ac 3.0201 5.1506 12.8730
Ge 1.5100 2.5753 0.0000
Ge 1.5100 2.5753 3.7597
Ge 1.5100 2.5753 7.5195
Ge 3.0201 5.1506 7.5195
Ge 4.5301 7.7259 11.2792
Pt 3.0201 3.7147 5.4118
Pt 3.0201 6.5864 5.4118
Pt 3.0201 3.7147 9.6271
Pt 3.0201 6.5864 9.6271
```

Computed properties:
- calculated formation energy (meV/atom) = -710


(2)
Here is a relaxed structure of Ac4Ge5Pt3 from Alexandria. Energies are from PBE.

extended XYZ file:
```
12
Lattice="7.4057 -2.3662 0.0000 7.4057 2.3662 0.0000 -3.9897 0.0000 9.1888" Properties=species:S:1:pos:R:3 pbc="T T T"
Ac -0.6377 0.0000 2.9842
Ac 0.4286 0.0000 7.4702
Ac 10.3933 0.0000 1.7186
Ac 11.4595 0.0000 6.2046
Ge 2.2271 0.0000 4.6565
Ge 4.4829 0.0000 3.6500
Ge 7.4057 0.0000 0.0000
Ge 6.3390 0.0000 5.5387
Ge 8.5947 0.0000 4.5323
Pt 0.0000 0.0000 0.0000
Pt 5.1856 0.0000 1.2453
Pt 5.6363 0.0000 7.9435
```

Computed properties:
- calculated formation energy (meV/atom) = -742


(3)
Here is a relaxed structure of Ac2Ge3Pt5 from Alexandria. Energies are from PBE.

extended XYZ file:
```
20
Lattice="-4.9588 6.4230 3.2744 4.9588 -6.4230 3.2744 4.9588 6.4230 -3.2744" Properties=species:S:1:pos:R:3 pbc="T T T"
Ac 2.3855 1.7185 0.0000
Ac 2.3855 -1.7185 3.2744
Ac 2.5733 8.1415 0.0000
Ac 2.5733 4.7045 3.2744
Ge 6.2804 1.4457 0.0000
Ge 0.0000 0.0000 1.6372
Ge 1.3216 4.9772 0.0000
Ge 3.6372 1.4457 3.2744
Ge 0.0000 0.0000 4.9116
Ge -1.3216 4.9772 3.2744
Pt 4.9588 -2.8659 1.6372
Pt 3.8250 -4.8755 3.2744
Pt 4.9588 0.0000 1.6372
Pt 3.8250 4.8755 0.0000
Pt 4.9588 2.8659 1.6372
Pt 0.0000 3.5570 1.6372
Pt 1.1338 1.5475 3.2744
Pt 0.0000 6.4230 1.6372
Pt 1.1338 11.2984 0.0000
Pt 0.0000 9.2889 1.6372
```

Computed properties:
- calculated formation energy (meV/atom) = -917


(4)
Here is a relaxed structure of Ac6GePt4 from Alexandria. Energies are from PBE.

extended XYZ file:
```
22
Lattice="2.2137 -7.2601 0.0000 2.2137 7.2601 0.0000 0.0000 0.0000 22.2655" Properties=species:S:1:pos:R:3 pbc="T T T"
Ac 0.0000 0.0000 0.0000
Ac 0.0000 0.0000 11.1327
Ac 2.2137 4.5460 16.6991
Ac 2.2137 3.3106 1.8432
Ac 2.2137 3.3106 9.2896
Ac 2.2137 0.6358 14.7482
Ac 2.2137 0.6358 18.6501
Ac 2.2137 -0.6358 3.6154
Ac 2.2137 -0.6358 7.5173
Ac 2.2137 -3.3106 12.9759
Ac 2.2137 -3.3106 20.4223
Ac 2.2137 -4.5460 5.5664
Ge 2.2137 5.0301 5.5664
Ge 2.2137 -5.0301 16.6991
Pt 2.2137 5.8834 13.9710
Pt 2.2137 5.8834 19.4273
Pt 2.2137 1.9890 12.0821
Pt 2.2137 1.9890 21.3161
Pt 2.2137 -1.9890 0.9494
Pt 2.2137 -1.9890 10.1834
Pt 2.2137 -5.8834 2.8382
Pt 2.2137 -5.8834 8.2945
```

Computed properties:
- calculated formation energy (meV/atom) = -1010


(5)
Here is a relaxed structure of Ac3Ge2Pt9 from Alexandria. Energies are from PBE.

extended XYZ file:
```
28
Lattice="6.0477 0.0000 0.0000 -3.0238 5.2375 0.0000 0.0000 0.0000 18.5774" Properties=species:S:1:pos:R:3 pbc="T T T"
Ac 0.0000 0.0000 4.6443
Ac 0.0000 0.0000 13.9330
Ac 0.0000 3.4916 1.6459
Ac 0.0000 3.4916 7.6427
Ac 3.0239 1.7458 10.9346
Ac 3.0239 1.7458 16.9314
Ge 0.0000 3.4916 12.1406
Ge 0.0000 3.4916 15.7254
Ge 3.0239 1.7458 2.8519
Ge 3.0239 1.7458 6.4368
Pt -1.3972 2.6850 4.6443
Pt 0.0000 1.6577 10.4613
Pt 0.0000 1.6577 17.4047
Pt -1.5882 4.4086 10.4613
Pt -1.5882 4.4086 17.4047
Pt 1.4356 0.8288 1.1727
Pt 1.4356 0.8288 8.1160
Pt 1.3972 2.6850 4.6443
Pt 0.0000 5.1050 4.6443
Pt 3.0238 0.1325 13.9330
Pt 1.6267 2.5525 13.9330
Pt 1.5882 4.4086 10.4613
Pt 1.5882 4.4086 17.4047
Pt 4.6121 0.8288 1.1727
Pt 4.6121 0.8288 8.1160
Pt 3.0239 3.5798 1.1727
Pt 3.0239 3.5798 8.1160
Pt 4.4210 2.5525 13.9330
```

Computed properties:
- calculated formation energy (meV/atom) = -834


(6)
Here is a relaxed structure of AcGePt3 from Alexandria. Energies are from PBE.

extended XYZ file:
```
10
Lattice="5.9196 0.0000 0.0000 0.0000 7.7588 0.0000 0.0000 0.0000 4.8725" Properties=species:S:1:pos:R:3 pbc="T T T"
Ac 0.0000 0.0000 0.0000
Ac 2.9598 3.8794 0.0000
Ge 0.0000 3.8794 2.4362
Ge 2.9598 0.0000 2.4362
Pt 0.0000 3.8794 0.0000
Pt 1.4740 1.9355 2.4362
Pt 1.4858 5.8149 2.4362
Pt 2.9598 0.0000 0.0000
Pt 4.4338 1.9439 2.4362
Pt 4.4456 5.8232 2.4362
```

Computed properties:
- excess energy over the best structure of this formula in the dataset (meV/atom) = 248
- calculated formation energy (meV/atom) = -660


(7)
Here is a relaxed structure of AcGePt4 from Alexandria. Energies are from PBE.

extended XYZ file:
```
6
Lattice="0.0000 3.8912 3.8912 3.8912 0.0000 3.8912 3.8912 3.8912 0.0000" Properties=species:S:1:pos:R:3 pbc="T T T"
Ac 0.0000 0.0000 0.0000
Ge 5.8367 5.8367 5.8367
Pt 2.9246 2.9246 2.9246
Pt 4.8577 4.8577 2.9246
Pt 4.8577 2.9246 4.8577
Pt 2.9246 4.8577 4.8577
```

Computed properties:
- excess energy over the best structure of this formula in the dataset (meV/atom) = 110
- calculated formation energy (meV/atom) = -619


(8)
Here is a relaxed structure of AcGePt3 from Alexandria. Energies are from PBE.

extended XYZ file:
```
5
Lattice="-2.1246 2.1246 5.6444 2.1246 -2.1246 5.6444 2.1246 2.1246 -5.6444" Properties=species:S:1:pos:R:3 pbc="T T T"
Ac 0.0000 0.0000 0.0000
Ge 0.0000 0.0000 7.1814
Pt 2.1246 0.0000 2.8720
Pt 0.0000 0.0000 4.7353
Pt 0.0000 2.1246 2.8720
```

Computed properties:
- excess energy over the best structure of this formula in the dataset (meV/atom) = 0
- calculated formation energy (meV/atom) = -908